18
Lattice="3.796 2.192 6.309 -3.796 2.192 6.309 0.000 -4.383 6.309" Properties=species:S:1:pos:R:3 comment="K2AcW3O12 (GGA+U, relaxed)" space_group="No. 166" dft_energy_ev_per_atom=-6.994 pbc="T T T"
K 0.000 0.000 2.750
K 0.000 0.000 16.177
Ac 0.000 0.000 9.464
W -1.898 -1.096 6.309
W -1.898 1.096 12.618
W 0.000 2.192 6.309
O -1.880 -1.085 8.216
O 0.000 -1.584 6.312
O -1.372 0.792 6.312
O 0.000 -2.171 10.712
O -1.880 1.085 10.712
O -1.372 -0.792 12.615
O 1.372 0.792 6.312
O 1.880 -1.085 8.216
O 0.000 2.171 8.216
O 1.372 -0.792 12.615
O 0.000 1.584 12.615
O 1.880 1.085 10.712